# PBEsol Y2ZnP, optimized geometry
# density of states at the Fermi level	4.5	states/eV/cell
# formation enthalpy at 0 K	-1.6	eV per formula unit
data_Y2ZnP
_symmetry_space_group_name_H-M 'C m m 2'
_symmetry_Int_Tables_number 35
_cell_length_a 4.318
_cell_length_b 5.406
_cell_length_c 7.712
_cell_angle_alpha 90.00
_cell_angle_beta 90.00
_cell_angle_gamma 90.00
loop_
_symmetry_equiv_pos_as_xyz
'x,y,z'
'-x,-y,z'
'-x,y,z'
'x,-y,z'
'x+1/2,y+1/2,z'
'-x+1/2,-y+1/2,z'
'-x+1/2,y+1/2,z'
'x+1/2,-y+1/2,z'
loop_
_atom_site_label
_atom_site_type_symbol
_atom_site_fract_x
_atom_site_fract_y
_atom_site_fract_z
_atom_site_occupancy
Y1 Y 0.000 0.000 0.000 1
Y2 Y 0.000 0.500 0.373 1
Zn1 Zn 0.000 0.500 0.755 1
P1 P 0.000 0.000 0.597 1